(1)
# PrPuIr

PrPuIr after structural relaxation (GGA-PBE, Alexandria).

Cell lengths 3.6402, 3.6402, 6.1395 Å; angles 107.24, 107.24, 90.00 degrees
Each line ends with the local moment (μB).
Element x y z (fractional)
Pu 0.2991 0.2991 0.5982  5.09
Ir 0.6890 0.6890 0.3779  -0.30
Pr 0.0119 0.0119 0.0238  0.14

Computed properties:
The energy relative to the elements is -0.275 eV per atom. For the total magnetization, the calculation gives 5.3 μB/f.u. Its distance to the lowest polymorph of the same formula is 0.191 eV/atom. For the density of states at the Fermi level, the calculation gives 7.727 states/eV/f.u. The uncorrected energy comes out at -9.5987 eV/atom.

=====

(2)
# Li2HfSiSe

Li2HfSiSe after structural relaxation (GGA-PBE, Alexandria).

Cell lengths 4.3041, 5.4924, 4.3041 Å; angles 90.00, 90.00, 90.00 degrees
Element x y z (fractional)
Li 0.0000 0.0000 0.5000
Li 0.5000 0.0000 0.0000
Se 0.0000 0.0000 0.0000
Hf 0.5000 0.5000 0.5000
Si 0.0000 0.5000 0.0000

Computed properties:
Its formation energy from raw total energies is 0.1497 eV/atom. For the total magnetization, the calculation gives 0.0 μB/f.u. For the density of states at the Fermi level, the calculation gives 2.381 states/eV/f.u. The uncorrected energy comes out at -4.3880 eV/atom.

=====

(3)
# ZrScCdPb

ZrScCdPb after structural relaxation (GGA-PBE, Alexandria).

Cell lengths 5.0662, 5.0662, 5.0662 Å; angles 60.00, 60.00, 60.00 degrees
Element x y z (fractional)
Pb 0.2500 0.2500 0.2500
Sc 0.0000 0.0000 0.0000
Zr 0.5000 0.5000 0.5000
Cd 0.7500 0.7500 0.7500

Computed properties:
The energy relative to the elements is -0.135 eV per atom. For the total magnetization, the calculation gives 0.1 μB/f.u. For the density of states at the Fermi level, the calculation gives 4.519 states/eV/f.u. The uncorrected energy comes out at -5.0106 eV/atom.